Compound: YAs8
Source: the Alexandria database
Functional: GGA-PBE
Structure: relaxed

Lattice parameters (Å, degrees): 7.793 7.793 7.793 92.82 92.82 154.35
Fractional coordinates of all 9 atoms:
Y1 0.000 0.000 0.000
As1 0.663 0.337 0.000
As2 0.337 0.663 0.000
As3 0.000 0.722 0.722
As4 0.337 0.337 0.673
As5 0.722 0.000 0.722
As6 0.663 0.663 0.327
As7 0.000 0.278 0.278
As8 0.278 0.000 0.278

Summary:
SG: I4/mmm, No. 139
Energy of formation from the pure elements: -3 meV/atom
E: -43.69 eV per cell